Computed, not measured: an optimized crystal structure of Sr2NiSn4Rh3 at the GGA-PBE level of DFT.

Lattice parameters (Å, degrees): 4.6346 4.6346 10.5523 90.00 90.00 90.00
Fractional positions:
Sr  0.5000  0.0000  0.2596
Sr  0.0000  0.5000  0.7404
Ni  0.5000  0.5000  0.5000
Sn  0.5000  0.5000  0.0000
Sn  0.0000  0.0000  0.0000
Sn  0.5000  0.0000  0.6183
Sn  0.0000  0.5000  0.3817
Rh  0.0000  0.0000  0.5000
Rh  0.5000  0.0000  0.8705
Rh  0.0000  0.5000  0.1295

Results
The formation energy is -561 meV/atom. The space group is P-4m2. As for the uncorrected energy: -5.282 eV/atom.